Entry from the Alexandria database: a relaxed structure of K4Pa3CrO12 (GGA+U).

Lattice parameters (Å, degrees): 7.390 7.390 7.390 109.47 109.47 109.47
Positions (direct):
K 0.000 0.000 0.500
K 0.000 0.500 0.000
K 0.500 0.000 0.000
K 0.500 0.500 0.500
Pa 0.000 0.500 0.500
Pa 0.500 0.000 0.500
Pa 0.500 0.500 0.000
Cr 0.000 0.000 0.000
O 0.000 0.237 0.237
O 0.000 0.763 0.763
O 0.237 0.000 0.237
O 0.237 0.237 0.000
O 0.250 0.500 0.750
O 0.250 0.750 0.500
O 0.500 0.250 0.750
O 0.500 0.750 0.250
O 0.750 0.250 0.500
O 0.750 0.500 0.250
O 0.763 0.000 0.763
O 0.763 0.763 0.000

Results
Total moment   0.93 μB per formula unit
Symmetry   Im-3m
Total energy   -7.612 eV/atom